1.
NaTeP2W | Alexandria | PBE-GGA | relaxed; E_form (uncorrected) = 1834 meV/atom; final energy = -3.813 eV/atom; space-group type = P4/mmm (123)
1.0
-3.4905 2.4140 -2.7601
0.4325 -3.4339 -3.5502
-3.6401 -2.7401 2.2069
P Te W Na
2 1 1 1
direct
0.0000 0.0000 0.5000 P
0.5000 0.0000 0.0000 P
0.0000 0.0000 0.0000 Te
0.5000 0.5000 0.5000 W
0.0000 0.5000 0.0000 Na

2.
ZrCr3Ge | Alexandria | PBE-GGA | relaxed; offset from the most stable computed form = 4.49 eV per formula unit; final energy = -6.670 eV/atom; DFT formation energy = 1.7370 eV/atom; space-group type = Pm-3m (221)
1.0
4.7906 0.0000 0.0000
0.0000 4.7906 0.0000
0.0000 0.0000 4.7906
Cr Ge Zr
3 1 1
direct
0.0000 0.5000 0.0000 Cr
0.0000 0.0000 0.5000 Cr
0.5000 0.0000 0.0000 Cr
0.5000 0.5000 0.5000 Ge
0.0000 0.0000 0.0000 Zr

3.
TaTl2Ga2 | Alexandria | PBE-GGA | relaxed; offset from the most stable computed form = 0.00 eV per formula unit; final energy = -4.045 eV/atom; DFT formation energy = 0.4829 eV/atom; space-group type = P4/mbm (127)
1.0
-5.5184 -4.5374 -0.8262
1.3294 -2.7987 6.4902
-2.5313 2.7670 1.7117
Tl Ga Ta
4 4 2
direct
0.1699 0.6699 0.5000 Tl
0.6699 0.8301 0.5000 Tl
0.8301 0.3301 0.5000 Tl
0.3301 0.1699 0.5000 Tl
0.3608 0.8608 0.0000 Ga
0.8608 0.6392 0.0000 Ga
0.6392 0.1392 0.0000 Ga
0.1392 0.3608 0.0000 Ga
0.0000 0.0000 0.0000 Ta
0.5000 0.5000 0.0000 Ta

4.
SrSiOs3 | Alexandria | PBE-GGA | relaxed; E_form (uncorrected) = 3770 meV/atom; offset from the most stable computed form = 14.68 eV per formula unit; final energy = -4.389 eV/atom; space-group type = Pm-3m (221)
1.0
4.8803 0.0000 0.0000
0.0000 4.8803 0.0000
0.0000 0.0000 4.8803
Sr Si Os
1 1 3
direct
0.0000 0.0000 0.0000 Sr
0.5000 0.5000 0.5000 Si
0.0000 0.5000 0.0000 Os
0.0000 0.0000 0.5000 Os
0.5000 0.0000 0.0000 Os

5.
B2PtF | Alexandria | PBE-GGA | relaxed; E_form (uncorrected) = 828 meV/atom; offset from the most stable computed form = 2.33 eV per formula unit; final energy = -4.489 eV/atom; space-group type = Fm-3m (225)
1.0
0.0000 2.7393 2.7393
2.7393 0.0000 2.7393
2.7393 2.7393 0.0000
B Pt F
2 1 1
direct
0.2500 0.2500 0.2500 B
0.7500 0.7500 0.7500 B
0.5000 0.5000 0.5000 Pt
0.0000 0.0000 0.0000 F

6.
HfNi3Te | Alexandria | PBE-GGA | relaxed; E_form (uncorrected) = 633 meV/atom; offset from the most stable computed form = 0.00 eV per formula unit; final energy = -5.455 eV/atom; space-group type = Pm-3m (221)
1.0
-3.1051 1.5414 -2.9385
-3.2931 -0.9369 2.9883
0.4078 4.1711 1.7571
Ni Te Hf
3 1 1
direct
0.0000 0.5000 0.0000 Ni
0.0000 0.0000 0.5000 Ni
0.5000 0.0000 0.0000 Ni
0.0000 0.0000 0.0000 Te
0.5000 0.5000 0.5000 Hf

7.
Ag3AuO | Alexandria | PBE-GGA | relaxed; E_form (uncorrected) = 1079 meV/atom; offset from the most stable computed form = 4.89 eV per formula unit; final energy = -2.279 eV/atom; space-group type = Pm-3m (221)
1.0
5.1615 0.0000 0.0000
0.0000 5.1615 0.0000
0.0000 0.0000 5.1615
Au O Ag
1 1 3
direct
0.0000 0.0000 0.0000 Au
0.5000 0.5000 0.5000 O
0.0000 0.5000 0.0000 Ag
0.0000 0.0000 0.5000 Ag
0.5000 0.0000 0.0000 Ag

8.
ZrScCd2 | Alexandria | PBE-GGA | relaxed; offset from the most stable computed form = 0.25 eV per formula unit; final energy = -4.290 eV/atom; DFT formation energy = -0.1126 eV/atom; space-group type = Cm (8)
1.0
6.0902 0.2238 0.3965
5.1936 3.1887 0.3965
2.1949 0.6638 5.0080
Cd Sc Zr
2 1 1
direct
0.0044 0.0044 0.9141 Cd
0.7452 0.7452 0.8332 Cd
0.4973 0.4973 0.4353 Sc
0.2531 0.2531 0.3175 Zr

9.
Be2CuSe | Alexandria | PBE-GGA | relaxed; E_form (uncorrected) = 441 meV/atom; final energy = -3.317 eV/atom; space-group type = I4/mmm (139)
1.0
4.5927 -0.0009 0.0000
1.7160 4.2601 0.0000
-3.1544 -2.1296 2.5706
Be Cu Se
2 1 1
direct
0.0000 0.0000 0.0000 Be
0.5000 0.5000 0.0000 Be
0.2500 0.7500 0.5000 Cu
0.7500 0.2500 0.5000 Se

10.
La4NdHo3 | Alexandria | PBE-GGA | relaxed; final energy = -4.750 eV/atom; DFT formation energy = 0.0265 eV/atom; space-group type = Pmmn (59)
1.0
-0.9980 -2.3865 -4.4764
-5.0662 -7.4162 5.0833
-8.7851 5.3783 -0.9088
Nd Ho La
2 6 8
direct
0.0644 0.3831 0.0000 Nd
0.5644 0.6169 0.5000 Nd
0.5644 0.6186 0.0000 Ho
0.0644 0.6172 0.2501 Ho
0.5644 0.3828 0.2499 Ho
0.0644 0.3814 0.5000 Ho
0.5644 0.3828 0.7501 Ho
0.0644 0.6172 0.7499 Ho
0.0644 0.8703 0.0000 La
0.5644 0.1275 0.0000 La
0.0644 0.1279 0.2501 La
0.5644 0.8721 0.2499 La
0.0644 0.8725 0.5000 La
0.5644 0.1297 0.5000 La
0.5644 0.8721 0.7501 La
0.0644 0.1279 0.7499 La

11.
InTe2P | Alexandria | PBE-GGA | relaxed; E_form (uncorrected) = 42 meV/atom; offset from the most stable computed form = 0.07 eV per formula unit; final energy = -3.566 eV/atom; space-group type = R3m (160)
1.0
-0.6956 7.4733 -1.1514
-4.2854 6.2344 0.6537
-0.8719 6.9156 3.0125
In P Te
1 1 2
direct
0.4953 0.4953 0.4953 In
0.7444 0.7444 0.7444 P
0.0182 0.0182 0.0182 Te
0.2420 0.2420 0.2420 Te

12.
Sn2Pd7Pt2 | Alexandria | PBE-GGA | relaxed; final energy = -5.303 eV/atom; DFT formation energy = -0.1727 eV/atom; space-group type = C2/m (12)
1.0
-1.3097 2.8591 3.8592
-5.1601 0.4389 -3.6574
-2.6671 -5.5231 1.6057
Sn Pd Pt
2 7 2
direct
0.0000 0.2028 0.7972 Sn
0.0000 0.7972 0.2028 Sn
0.7430 0.0612 0.4059 Pd
0.2570 0.5941 0.9388 Pd
0.2570 0.9388 0.5941 Pd
0.7430 0.4059 0.0612 Pd
0.5000 0.0000 0.0000 Pd
0.2632 0.5203 0.5203 Pd
0.7368 0.4797 0.4797 Pd
0.2488 0.2270 0.2270 Pt
0.7512 0.7730 0.7730 Pt

| no. | calculated volume (A^3/atom) |
| --- | --- |
| 1 | 25.41 |
| 2 | 21.99 |
| 3 | 21.32 |
| 4 | 23.25 |
| 5 | 10.28 |
| 6 | 18.77 |
| 7 | 27.50 |
| 8 | 22.15 |
| 9 | 12.57 |
| 10 | 34.48 |
| 11 | 27.54 |
| 12 | 17.42 |